1.
A relaxed Cd3SbW crystal. Source: the Alexandria database, functional PBE-GGA.

```
data_Cd3SbW
_chemical_formula_sum 'Cd3 Sb1 W1'
_cell_length_a 5.295
_cell_length_b 5.295
_cell_length_c 5.295
_cell_angle_alpha 90.00
_cell_angle_beta 90.00
_cell_angle_gamma 90.00
_space_group_name_H-M_alt 'P m -3 m'
_space_group_IT_number 221
_space_group_name_Hall '-P 4 2 3'
loop_
_atom_site_label
_atom_site_type_symbol
_atom_site_fract_x
_atom_site_fract_y
_atom_site_fract_z
_atom_site_occupancy
Cd1 Cd 0.000 0.000 0.500 1
Sb1 Sb 0.500 0.500 0.500 1
W1 W 0.000 0.000 0.000 1
```

Properties
**Excess energy over the best structure of this formula in the dataset**: 0.000 eV/atom
**Formation energy (no corrections)**: 1.27 eV per atom
**Calculated total energy**: -13.5 eV per formula unit

2.
A relaxed CdSbW2 crystal. Source: the Alexandria database, functional PBE-GGA.

```
data_CdSbW2
_chemical_formula_sum 'Cd2 Sb2 W4'
_cell_length_a 5.756
_cell_length_b 8.813
_cell_length_c 2.925
_cell_angle_alpha 90.00
_cell_angle_beta 90.00
_cell_angle_gamma 90.00
_space_group_name_H-M_alt 'C m m m'
_space_group_IT_number 65
_space_group_name_Hall '-C 2 2'
loop_
_atom_site_label
_atom_site_type_symbol
_atom_site_fract_x
_atom_site_fract_y
_atom_site_fract_z
_atom_site_occupancy
Cd1 Cd 0.000 0.000 0.000 1
Sb1 Sb 0.000 0.500 0.000 1
W1 W 0.250 0.250 0.500 1
```

Properties
**Excess energy over the best structure of this formula in the dataset**: 0.579 eV/atom
**Formation energy (no corrections)**: 0.98 eV per atom
**Calculated total energy**: -27.0 eV per formula unit

3.
A relaxed CdSb2W crystal. Source: the Alexandria database, functional PBE-GGA.

```
data_CdSb2W
_chemical_formula_sum 'Cd2 Sb4 W2'
_cell_length_a 9.562
_cell_length_b 3.325
_cell_length_c 5.699
_cell_angle_alpha 90.00
_cell_angle_beta 100.12
_cell_angle_gamma 90.00
_space_group_name_H-M_alt 'C 1 2/m 1'
_space_group_IT_number 12
loop_
_space_group_symop_operation_xyz
'x,y,z'
'-x,-y,-z'
'-x,y,-z'
'x,-y,z'
'x+1/2,y+1/2,z'
'-x+1/2,-y+1/2,-z'
'-x+1/2,y+1/2,-z'
'x+1/2,-y+1/2,z'
loop_
_atom_site_label
_atom_site_type_symbol
_atom_site_fract_x
_atom_site_fract_y
_atom_site_fract_z
_atom_site_occupancy
Cd1 Cd 0.000 0.000 0.000 1
Sb1 Sb 0.223 0.000 0.716 1
W1 W 0.000 0.500 0.500 1
```

Properties
**Formation energy (no corrections)**: 0.55 eV per atom
**Calculated total energy**: -19.9 eV per formula unit

Question: Among the records above, which one has the highest formation energy (no corrections)?
Answer: Cd3SbW